# 1
{
  "formula": "Mg6Pt10Rh",
  "functional": "GGA-PBE",
  "state": "relaxed",
  "lattice_angstrom": [[5.4546, 0.0000, 0.0000], [0.0000, 6.5951, -3.8077], [0.0000, 0.0000, 7.6154]],
  "species": ["Mg", "Mg", "Mg", "Mg", "Mg", "Mg", "Pt", "Pt", "Pt", "Pt", "Pt", "Pt", "Pt", "Pt", "Pt", "Pt", "Rh"],
  "fractional_positions": [[0.6776, 0.3457, 0.3457], [0.6776, 0.0000, 0.6543], [0.6776, 0.6543, 0.0000], [0.3224, 0.6543, 0.6543], [0.3224, 0.0000, 0.3457], [0.3224, 0.3457, 0.0000], [0.8320, 0.6909, 0.6909], [0.8320, 0.0000, 0.3091], [0.8320, 0.3091, 0.0000], [0.1680, 0.3091, 0.3091], [0.1680, 0.0000, 0.6909], [0.1680, 0.6909, 0.0000], [0.5000, 0.3333, 0.6667], [0.5000, 0.6667, 0.3333], [0.0000, 0.6667, 0.3333], [0.0000, 0.3333, 0.6667], [0.5000, 0.0000, 0.0000]],
  "formation_enthalpy_0k_kj_per_mol_fu": -834
}

=====

# 2
{
  "formula": "LaSb2Mo",
  "functional": "GGA-PBE",
  "state": "relaxed",
  "lattice_angstrom": [[6.0166, 0.0068, 0.0134], [2.0755, 5.6473, -0.0134], [-3.1103, -4.1663, 3.0278]],
  "species": ["La", "Mo", "Sb", "Sb"],
  "fractional_positions": [[0.7500, 0.2500, 0.5000], [0.2500, 0.7500, 0.5000], [0.0395, 0.0395, 0.0000], [0.4605, 0.4605, 0.0000]],
  "e_form_raw_kj_per_mol_fu": -51,
  "polymorph_energy_ev_per_fu": 0.645
}

=====

# 3
{
  "formula": "YTl2CdH",
  "functional": "GGA-PBE",
  "state": "relaxed",
  "lattice_angstrom": [[-3.8710, -2.3319, -1.8845], [2.7372, -1.4926, -3.7755], [1.1299, -3.7291, 2.2934]],
  "species": ["Y", "H", "Tl", "Tl", "Cd"],
  "fractional_positions": [[0.0000, 0.0000, 0.5000], [0.0000, 0.0000, 0.0000], [0.0000, 0.5000, 0.0000], [0.5000, 0.0000, 0.0000], [0.5000, 0.5000, 0.5000]],
  "dft_energy_ev_per_atom": -3.191
}

=====

# 4
{
  "formula": "CrAg2Ir",
  "functional": "GGA-PBE",
  "state": "relaxed",
  "lattice_angstrom": [[-1.3149, -0.2895, 3.6029], [3.1735, -1.9278, 1.0033], [1.9370, 3.7117, 1.0052]],
  "species": ["Ag", "Ag", "Cr", "Ir"],
  "fractional_positions": [[0.0000, 0.0000, 0.0000], [0.5000, 0.5000, 0.0000], [0.5000, 0.0000, 0.5000], [0.0000, 0.5000, 0.5000]],
  "formation_enthalpy_0k_kj_per_mol_fu": 150,
  "polymorph_energy_ev_per_fu": 0.782
}

=====

# 5
{
  "formula": "EuTlGaPb",
  "functional": "GGA-PBE",
  "state": "relaxed",
  "lattice_angstrom": [[-1.4400, -1.9095, -4.9014], [3.7623, -0.6144, -3.9002], [1.5409, -5.0001, -1.5390]],
  "species": ["Pb", "Eu", "Tl", "Ga"],
  "fractional_positions": [[0.7500, 0.7500, 0.7500], [0.2500, 0.2500, 0.2500], [0.5000, 0.5000, 0.5000], [0.0000, 0.0000, 0.0000]],
  "formation_enthalpy_0k_kj_per_mol_fu": -96
}

=====

# 6
{
  "formula": "CaAlZn3",
  "functional": "GGA-PBE",
  "state": "relaxed",
  "lattice_angstrom": [[-0.4335, 0.4883, -4.1861], [4.0619, -1.0770, -0.5454], [0.3382, -5.5352, -2.7963]],
  "species": ["Ca", "Al", "Zn", "Zn", "Zn"],
  "fractional_positions": [[0.3978, 0.2013, 0.9096], [0.0180, 0.8215, 0.6690], [0.6503, 0.9580, 0.4007], [0.1544, 0.4537, 0.4008], [0.7872, 0.5907, 0.1310]],
  "formation_enthalpy_0k_kj_per_mol_fu": -107,
  "polymorph_energy_ev_per_fu": 0.000
}

=====

# 7
{
  "formula": "NiMoSe2N",
  "functional": "GGA-PBE",
  "state": "relaxed",
  "lattice_angstrom": [[-2.4766, -0.8661, -4.1536], [1.7103, -4.6051, -0.0596], [-2.6748, -1.0168, 1.8069]],
  "species": ["Ni", "Mo", "Se", "Se", "N"],
  "fractional_positions": [[0.0000, 0.0000, 0.0000], [0.5000, 0.5000, 0.5000], [0.0000, 0.5000, 0.0000], [0.5000, 0.0000, 0.0000], [0.0000, 0.0000, 0.5000]],
  "e_form_raw_kj_per_mol_fu": 358,
  "polymorph_energy_ev_per_fu": 0.897
}

=====

# 8
{
  "formula": "La14SmSc",
  "functional": "GGA-PBE",
  "state": "relaxed",
  "lattice_angstrom": [[7.2933, 0.9828, 0.0000], [-0.9744, 7.2945, 0.0000], [0.0000, 0.0000, 10.4604]],
  "species": ["La", "La", "La", "La", "La", "La", "La", "La", "La", "La", "La", "La", "La", "La", "Sm", "Sc"],
  "fractional_positions": [[0.3747, 0.6253, 0.5000], [0.8754, 0.1246, 0.5000], [0.8750, 0.6250, 0.0000], [0.8749, 0.6249, 0.5000], [0.3750, 0.1250, 0.0000], [0.3751, 0.1251, 0.5000], [0.6201, 0.8701, 0.7545], [0.6201, 0.8701, 0.2455], [0.1299, 0.3799, 0.7545], [0.1299, 0.3799, 0.2455], [0.1299, 0.8701, 0.7548], [0.1299, 0.8701, 0.2452], [0.6201, 0.3799, 0.7545], [0.6201, 0.3799, 0.2455], [0.8748, 0.1252, 0.0000], [0.3752, 0.6248, 0.0000]],
  "formation_enthalpy_0k_kj_per_mol_fu": 24
}

=====

# 9
{
  "formula": "Rb4Sr3UO8",
  "functional": "GGA-PBE",
  "state": "relaxed",
  "lattice_angstrom": [[7.4293, 0.0000, 0.0000], [0.0000, 7.8272, 0.2691], [-3.7147, -3.7066, 5.2592]],
  "species": ["Rb", "Rb", "Rb", "Rb", "Sr", "Sr", "Sr", "U", "O", "O", "O", "O", "O", "O", "O", "O"],
  "fractional_positions": [[0.5000, 0.0000, 0.0000], [0.5000, 0.0000, 0.5000], [0.0000, 0.0000, 0.0000], [0.0000, 0.0000, 0.5000], [0.5000, 0.5000, 0.0000], [0.5000, 0.5000, 0.5000], [0.0000, 0.5000, 0.5000], [0.0000, 0.5000, 0.0000], [0.1982, 0.6781, 0.9799], [0.1982, 0.6781, 0.3963], [0.2704, 0.3112, 0.5408], [0.7817, 0.6781, 0.9799], [0.2183, 0.3219, 0.0201], [0.7296, 0.6888, 0.4592], [0.8018, 0.3219, 0.6037], [0.8018, 0.3219, 0.0201]],
  "e_form_raw_kj_per_mol_fu": -3654
}

=====

# 10
{
  "formula": "RuS",
  "functional": "GGA-PBE",
  "state": "relaxed",
  "lattice_angstrom": [[-0.3593, 2.4350, 1.8043], [-2.8915, -0.3335, -2.6709], [-2.1986, -3.5515, 4.3432]],
  "species": ["Ru", "Ru", "S", "S"],
  "fractional_positions": [[0.2689, 0.3711, 0.4878], [0.8821, 0.6014, 0.9125], [0.9862, 0.8123, 0.5823], [0.2128, 0.2597, 0.0965]],
  "e_form_raw_kj_per_mol_fu": -18
}

=====

# 11
{
  "formula": "NaPa2Tl2Te5",
  "functional": "GGA-PBE",
  "state": "relaxed",
  "lattice_angstrom": [[4.0942, 0.0000, 0.0000], [0.0000, 12.6804, 0.0000], [0.0000, 0.0000, 12.6804]],
  "species": ["Na", "Na", "Pa", "Pa", "Pa", "Pa", "Tl", "Tl", "Tl", "Tl", "Te", "Te", "Te", "Te", "Te", "Te", "Te", "Te", "Te", "Te"],
  "fractional_positions": [[0.0000, 0.0000, 0.0000], [0.0000, 0.5000, 0.5000], [0.0000, 0.1249, 0.6249], [0.0000, 0.8751, 0.3751], [0.0000, 0.6249, 0.8751], [0.0000, 0.3751, 0.1249], [0.0000, 0.6822, 0.1822], [0.0000, 0.3178, 0.8178], [0.0000, 0.1822, 0.3178], [0.0000, 0.8178, 0.6822], [0.5000, 0.2040, 0.0714], [0.5000, 0.7960, 0.9286], [0.5000, 0.0714, 0.7960], [0.5000, 0.7040, 0.4286], [0.5000, 0.9286, 0.2040], [0.5000, 0.2960, 0.5714], [0.5000, 0.5714, 0.7040], [0.5000, 0.4286, 0.2960], [0.5000, 0.5000, 0.0000], [0.5000, 0.0000, 0.5000]],
  "e_form_raw_kj_per_mol_fu": -603
}

=====

# 12
{
  "formula": "Tm2TaPd9",
  "functional": "GGA-PBE",
  "state": "relaxed",
  "lattice_angstrom": [[-3.2068, -1.4728, 1.9709], [-1.4978, -1.4001, -3.4833], [5.8818, -10.5279, 1.7026]],
  "species": ["Tm", "Tm", "Ta", "Pd", "Pd", "Pd", "Pd", "Pd", "Pd", "Pd", "Pd", "Pd"],
  "fractional_positions": [[0.0000, 0.0000, 0.3344], [0.0000, 0.0000, 0.6656], [0.0000, 0.0000, 0.0000], [0.5000, 0.5000, 0.0000], [0.5000, 0.5000, 0.3271], [0.5000, 0.5000, 0.6729], [0.5000, 0.0000, 0.1548], [0.5000, 0.0000, 0.5000], [0.5000, 0.0000, 0.8452], [0.0000, 0.5000, 0.1548], [0.0000, 0.5000, 0.5000], [0.0000, 0.5000, 0.8452]],
  "formation_enthalpy_0k_kj_per_mol_fu": -930
}